Here is TaSbIr2 at its PBEsol-relaxed geometry from the Alexandria database. Energies are from meta-GGA SCAN.

Energy, eV per atom: -61.606
Formation energy without anion corrections, eV/atom: -0.10
Calculated density, g/cm3: 17.16
Density of states at the Fermi level, states/eV per cell: 5.35

Cell: 9.412 2.986 4.766 Å, 90.00 96.87 90.00°
Space group Cm (No. 8)
Symmetry-distinct sites (fractional):
1 Ta 0.000 0.000 0.000 [2 per cell]
2 Sb 0.270 0.500 0.331 [2 per cell]
3 Ir 0.022 0.500 0.529 [2 per cell]
4 Ir 0.263 0.000 0.817 [2 per cell]

---

Here is Li3Al at its PBEsol-relaxed geometry from the Alexandria database. Energies are from meta-GGA SCAN.

Energy, eV per atom: -3.809
Calculated density, g/cm3: 1.20
Energy of formation, meV per atom: -78
Density of states at the Fermi level, states/eV per cell: 1.06

Cell: 2.890 4.725 4.841 Å, 90.00 90.00 90.00°
Space group Pmm2 (No. 25)
Symmetry-distinct sites (fractional):
1 Li 0.000 0.000 0.000 [1 per cell]
2 Li 0.000 0.500 0.386 [1 per cell]
3 Li 0.500 0.500 0.867 [1 per cell]
4 Al 0.500 0.000 0.500 [1 per cell]

---

Here is CoRh2 at its PBEsol-relaxed geometry from the Alexandria database. Energies are from meta-GGA SCAN.

Energy, eV per atom: -28.227
Calculated density, g/cm3: 11.68
Energy of formation, meV per atom: 55
Density of states at the Fermi level, states/eV per cell: 12.49

Cell: 3.705 11.084 3.665 Å, 90.00 90.00 90.00°
Space group Cmmm (No. 65)
Symmetry-distinct sites (fractional):
1 Co 0.000 0.170 0.000 [4 per cell]
2 Rh 0.000 0.000 0.500 [2 per cell]
3 Rh 0.000 0.331 0.500 [4 per cell]
4 Rh 0.000 0.500 0.000 [2 per cell]